No. 1
# LaCrCdOs2, optimized geometry, DFT GGA-PBE
# Size of the total moment ... 3.35 μB per formula unit
# Formation energy from the elements ... 1.581 eV per atom
# Fermi-level density of states ... 5.5 states/eV/f.u.
# Volume ... 23.7 A^3/atom
data_LaCrCdOs2
_chemical_formula_sum 'La1 Cr1 Cd1 Os2'
_symmetry_space_group_name_H-M 'P 4/m m m'
_symmetry_Int_Tables_number 123
_symmetry_space_group_name_Hall '-P 4 2'
_cell_length_a 4.9895
_cell_length_b 4.9895
_cell_length_c 4.7638
_cell_angle_alpha 90.00
_cell_angle_beta 90.00
_cell_angle_gamma 90.00
loop_
_atom_site_label
_atom_site_fract_x
_atom_site_fract_y
_atom_site_fract_z
La1 0.0000 0.0000 0.0000
Cr1 0.5000 0.5000 0.0000
Cd1 0.5000 0.5000 0.5000
Os1 0.0000 0.5000 0.5000

---

No. 2
# LaCr2CdRh, optimized geometry, DFT GGA-PBE
# Size of the total moment ... 0.11 μB per formula unit
# Formation energy from the elements ... 1.907 eV per atom
# Fermi-level density of states ... 10.0 states/eV/f.u.
# Volume ... 25.4 A^3/atom
data_LaCr2CdRh
_chemical_formula_sum 'La1 Cr2 Cd1 Rh1'
_symmetry_space_group_name_H-M 'P 4/m m m'
_symmetry_Int_Tables_number 123
_symmetry_space_group_name_Hall '-P 4 2'
_cell_length_a 4.7160
_cell_length_b 4.7160
_cell_length_c 5.7207
_cell_angle_alpha 90.00
_cell_angle_beta 90.00
_cell_angle_gamma 90.00
loop_
_atom_site_label
_atom_site_fract_x
_atom_site_fract_y
_atom_site_fract_z
La1 0.0000 0.0000 0.0000
Cr1 0.0000 0.5000 0.5000
Cd1 0.0000 0.0000 0.5000
Rh1 0.5000 0.5000 0.0000

---

No. 3
# LaYCrCd2, optimized geometry, DFT GGA-PBE
# Size of the total moment ... 3.71 μB per formula unit
# Formation energy from the elements ... 0.692 eV per atom
# Fermi-level density of states ... 4.9 states/eV/f.u.
# Volume ... 31.5 A^3/atom
data_LaYCrCd2
_chemical_formula_sum 'La1 Y1 Cr1 Cd2'
_symmetry_space_group_name_H-M 'P 4/m m m'
_symmetry_Int_Tables_number 123
_symmetry_space_group_name_Hall '-P 4 2'
_cell_length_a 5.5826
_cell_length_b 5.5826
_cell_length_c 5.0526
_cell_angle_alpha 90.00
_cell_angle_beta 90.00
_cell_angle_gamma 90.00
loop_
_atom_site_label
_atom_site_fract_x
_atom_site_fract_y
_atom_site_fract_z
La1 0.0000 0.0000 0.0000
Y1 0.5000 0.5000 0.5000
Cr1 0.5000 0.5000 0.0000
Cd1 0.0000 0.5000 0.5000

---

No. 4
# LiCr2Cd, optimized geometry, DFT GGA-PBE
# Size of the total moment ... 0.00 μB per formula unit
# Formation energy from the elements ... 0.578 eV per atom
# Fermi-level density of states ... 2.8 states/eV/f.u.
# Volume ... 14.0 A^3/atom
data_LiCr2Cd
_chemical_formula_sum 'Li2 Cr4 Cd2'
_symmetry_space_group_name_H-M 'C m m m'
_symmetry_Int_Tables_number 65
_symmetry_space_group_name_Hall '-C 2 2'
_cell_length_a 4.8064
_cell_length_b 9.1089
_cell_length_c 2.5588
_cell_angle_alpha 90.00
_cell_angle_beta 90.00
_cell_angle_gamma 90.00
loop_
_atom_site_label
_atom_site_fract_x
_atom_site_fract_y
_atom_site_fract_z
Li1 0.0000 0.0000 0.0000
Cr1 0.2500 0.2500 0.5000
Cd1 0.0000 0.5000 0.0000

---

No. 5
# LiCrCd2, optimized geometry, DFT GGA-PBE
# Size of the total moment ... 4.15 μB per formula unit
# Formation energy from the elements ... 0.204 eV per atom
# Fermi-level density of states ... 1.9 states/eV/f.u.
# Volume ... 19.2 A^3/atom
data_LiCrCd2
_chemical_formula_sum 'Li1 Cr1 Cd2'
_symmetry_space_group_name_H-M 'P m m 2'
_symmetry_Int_Tables_number 25
_cell_length_a 3.0222
_cell_length_b 4.2885
_cell_length_c 5.9119
_cell_angle_alpha 90.00
_cell_angle_beta 90.00
_cell_angle_gamma 90.00
loop_
_symmetry_equiv_pos_as_xyz
'x,y,z'
'-x,-y,z'
'-x,y,z'
'x,-y,z'
loop_
_atom_site_label
_atom_site_fract_x
_atom_site_fract_y
_atom_site_fract_z
Li1 0.0000 0.0000 0.0000
Cr1 0.5000 0.5000 0.7434
Cd1 0.0000 0.0000 0.5221
Cd2 0.5000 0.5000 0.2292

---

No. 6
# LiCrCd2, optimized geometry, DFT GGA-PBE
# Size of the total moment ... 3.86 μB per formula unit
# Formation energy from the elements ... 0.120 eV per atom
# Fermi-level density of states ... 2.1 states/eV/f.u.
# Volume ... 18.2 A^3/atom
data_LiCrCd2
_chemical_formula_sum 'Li1 Cr1 Cd2'
_symmetry_space_group_name_H-M 'P 4/m m m'
_symmetry_Int_Tables_number 123
_symmetry_space_group_name_Hall '-P 4 2'
_cell_length_a 3.2680
_cell_length_b 3.2680
_cell_length_c 6.8122
_cell_angle_alpha 90.00
_cell_angle_beta 90.00
_cell_angle_gamma 90.00
loop_
_atom_site_label
_atom_site_fract_x
_atom_site_fract_y
_atom_site_fract_z
Li1 0.0000 0.0000 0.0000
Cr1 0.0000 0.0000 0.5000
Cd1 0.5000 0.5000 0.2413